[1]
CsSr2MgPd: relaxed, GGA-PBE.

a = 6.1222 Å, b = 6.1222 Å, c = 5.5110 Å
α = 90.00°, β = 90.00°, γ = 90.00°
Space group P4/mmm (No. 123)
Symmetry-distinct sites (fractional):
Cs 0.0000 0.0000 0.0000 [1 per cell]
Sr 0.0000 0.5000 0.5000 [2 per cell]
Mg 0.5000 0.5000 0.0000 [1 per cell]
Pd 0.5000 0.5000 0.5000 [1 per cell]

DFT total energy in eV for the cell shown: -11.78
E_form in eV/atom: -0.155



[2]
CsMgTcPd2: relaxed, GGA-PBE.

a = 4.9615 Å, b = 4.9615 Å, c = 5.5903 Å
α = 90.00°, β = 90.00°, γ = 90.00°
Space group P4/mmm (No. 123)
Symmetry-distinct sites (fractional):
Cs 0.0000 0.0000 0.0000 [1 per cell]
Mg 0.5000 0.5000 0.0000 [1 per cell]
Tc 0.0000 0.0000 0.5000 [1 per cell]
Pd 0.0000 0.5000 0.5000 [2 per cell]

DFT total energy in eV for the cell shown: -17.37
E_form in eV/atom: 1.165



[3]
CsMgTiPd2: relaxed, GGA-PBE.

a = 4.9122 Å, b = 4.9122 Å, c = 5.8862 Å
α = 90.00°, β = 90.00°, γ = 90.00°
Space group P4/mmm (No. 123)
Symmetry-distinct sites (fractional):
Cs 0.0000 0.0000 0.0000 [1 per cell]
Mg 0.5000 0.5000 0.0000 [1 per cell]
Ti 0.0000 0.0000 0.5000 [1 per cell]
Pd 0.0000 0.5000 0.5000 [2 per cell]

DFT total energy in eV for the cell shown: -16.88
E_form in eV/atom: 0.771



[4]
Cs2PmMg2S4: relaxed, GGA-PBE.

a = 15.8871 Å, b = 4.1477 Å, c = 8.2778 Å
α = 90.00°, β = 107.56°, γ = 90.00°
Space group C2/m (No. 12)
Symmetry-distinct sites (fractional):
Cs 0.1267 0.0000 0.0347 [4 per cell]
Pm 0.0000 0.0000 0.5000 [2 per cell]
Mg 0.1719 0.5000 0.4752 [4 per cell]
S 0.0261 0.5000 0.2740 [4 per cell]
S 0.1999 0.0000 0.6489 [4 per cell]

DFT total energy in eV for the cell shown: -77.37
Formation energy from raw total energies in eV/f.u.: -12.53



[5]
CsPmMgSe3: relaxed, GGA-PBE.

a = 9.7876 Å, b = 4.3745 Å, c = 10.5279 Å
α = 90.00°, β = 109.84°, γ = 90.00°
Space group P2_1/m (No. 11)
Symmetry-distinct sites (fractional):
Cs 0.2128 0.2500 0.2361 [2 per cell]
Pm 0.3320 0.7500 0.8657 [2 per cell]
Mg 0.0846 0.2500 0.6103 [2 per cell]
Se 0.1232 0.2500 0.8613 [2 per cell]
Se 0.1916 0.7500 0.5450 [2 per cell]
Se 0.4734 0.7500 0.1546 [2 per cell]

DFT total energy in eV for the cell shown: -54.16
Formation energy from raw total energies in eV/f.u.: -9.43



[6]
Cs3Pm2MgSe6: relaxed, GGA-PBE.

a = 7.4485 Å, b = 12.9111 Å, c = 8.7503 Å
α = 90.00°, β = 106.55°, γ = 90.00°
Space group C2/m (No. 12)
Symmetry-distinct sites (fractional):
Cs 0.0000 0.0000 0.0000 [2 per cell]
Cs 0.0000 0.3316 0.0000 [4 per cell]
Pm 0.0000 0.1663 0.5000 [4 per cell]
Mg 0.0000 0.5000 0.5000 [2 per cell]
Se 0.2232 0.3384 0.6850 [8 per cell]
Se 0.2387 0.0000 0.6865 [4 per cell]

DFT total energy in eV for the cell shown: -103.28
Formation energy from raw total energies in eV/f.u.: -17.08



[7]
Cs3Pm2MgTe6: relaxed, GGA-PBE.

a = 7.9019 Å, b = 13.7036 Å, c = 9.3794 Å
α = 90.00°, β = 106.40°, γ = 90.00°
Space group C2/m (No. 12)
Symmetry-distinct sites (fractional):
Cs 0.0000 0.0000 0.0000 [2 per cell]
Cs 0.0000 0.3300 0.0000 [4 per cell]
Pm 0.0000 0.1661 0.5000 [4 per cell]
Mg 0.0000 0.5000 0.5000 [2 per cell]
Te 0.2245 0.3383 0.6892 [8 per cell]
Te 0.2401 0.0000 0.6914 [4 per cell]

DFT total energy in eV for the cell shown: -92.70
Formation energy from raw total energies in eV/f.u.: -13.84



[8]
CsPmMgTe3: relaxed, GGA-PBE.

a = 10.3668 Å, b = 4.6295 Å, c = 11.1745 Å
α = 90.00°, β = 110.49°, γ = 90.00°
Space group P2_1/m (No. 11)
Symmetry-distinct sites (fractional):
Cs 0.2153 0.2500 0.2407 [2 per cell]
Pm 0.3297 0.7500 0.8666 [2 per cell]
Mg 0.0841 0.2500 0.6093 [2 per cell]
Te 0.1166 0.2500 0.8655 [2 per cell]
Te 0.2038 0.7500 0.5438 [2 per cell]
Te 0.4744 0.7500 0.1613 [2 per cell]

DFT total energy in eV for the cell shown: -48.16
Formation energy from raw total energies in eV/f.u.: -7.45



> Among the records above, which one has the lowest DFT total energy?

Cs3Pm2MgSe6